## La2RuPb (PBE)

Data for an optimized crystal structure of La2RuPb.

Results
SG	P4/mmm

abc: 5.009 5.009 4.253
angles: 90.00 90.00 90.00
Element x y z (fractional)
La: 0.000 0.500 0.000
La: 0.500 0.000 0.000
Ru: 0.000 0.000 0.500
Pb: 0.500 0.500 0.500


## La6RuPb (PBE)

Data for an optimized crystal structure of La6RuPb.

Results
SG	C2/m

abc: 8.478 10.220 6.630
angles: 90.00 106.41 90.00
Element x y z (fractional)
La: 0.102 0.195 0.295
La: 0.102 0.805 0.295
La: 0.204 0.500 0.095
La: 0.296 0.000 0.905
La: 0.398 0.305 0.705
La: 0.398 0.695 0.705
La: 0.602 0.305 0.295
La: 0.602 0.695 0.295
La: 0.704 0.000 0.095
La: 0.796 0.500 0.905
La: 0.898 0.195 0.705
La: 0.898 0.805 0.705
Ru: 0.000 0.000 0.000
Ru: 0.500 0.500 0.000
Pb: 0.000 0.500 0.500
Pb: 0.500 0.000 0.500


## La6Ru2Pb (PBE)

Data for an optimized crystal structure of La6Ru2Pb.

Results
SG	C2/m
distance to the lowest polymorph of the same formula	0.0000	eV per atom

abc: 6.067 6.067 9.468
angles: 101.87 101.87 51.12
Element x y z (fractional)
La: 0.030 0.030 0.355
La: 0.302 0.302 0.660
La: 0.332 0.332 0.127
La: 0.668 0.668 0.873
La: 0.698 0.698 0.340
La: 0.970 0.970 0.645
Ru: 0.378 0.378 0.400
Ru: 0.622 0.622 0.600
Pb: 0.000 0.000 0.000


## La3RuPb (PBE)

Data for an optimized crystal structure of La3RuPb.

Results
SG	P2_1/m
distance to the lowest polymorph of the same formula	0.0198	eV per atom

abc: 6.014 7.261 7.375
angles: 90.00 104.77 90.00
Element x y z (fractional)
La: 0.115 0.250 0.133
La: 0.343 0.016 0.717
La: 0.343 0.484 0.717
La: 0.657 0.516 0.283
La: 0.657 0.984 0.283
La: 0.885 0.750 0.867
Ru: 0.346 0.750 0.983
Ru: 0.654 0.250 0.017
Pb: 0.163 0.750 0.320
Pb: 0.837 0.250 0.680


## La3RuPb (PBE)

Data for an optimized crystal structure of La3RuPb.

Results
SG	Cmcm
distance to the lowest polymorph of the same formula	0.2611	eV per atom

abc: 7.020 7.020 6.772
angles: 90.00 90.00 104.23
Element x y z (fractional)
La: 0.000 0.000 0.000
La: 0.000 0.000 0.500
La: 0.105 0.514 0.750
La: 0.486 0.895 0.750
La: 0.514 0.105 0.250
La: 0.895 0.486 0.250
Ru: 0.189 0.811 0.250
Ru: 0.811 0.189 0.750
Pb: 0.437 0.563 0.250
Pb: 0.563 0.437 0.750


## LaRuPb2 (PBE)

Data for an optimized crystal structure of LaRuPb2.

Results
SG	Cm

abc: 10.260 3.537 6.500
angles: 90.00 112.78 90.00
Element x y z (fractional)
La: 0.000 0.000 0.000
La: 0.500 0.500 0.000
Ru: 0.247 0.500 0.990
Ru: 0.747 0.000 0.990
Pb: 0.167 0.000 0.618
Pb: 0.368 0.000 0.367
Pb: 0.667 0.500 0.618
Pb: 0.868 0.500 0.367


## LaRuPb2 (PBE)

Data for an optimized crystal structure of LaRuPb2.

Results
SG	R-3m

abc: 4.690 4.690 16.224
angles: 90.00 90.00 120.00
Element x y z (fractional)
La: 0.000 0.000 0.000
La: 0.333 0.667 0.667
La: 0.667 0.333 0.333
Ru: 0.000 0.000 0.500
Ru: 0.333 0.667 0.167
Ru: 0.667 0.333 0.833
Pb: 0.000 0.000 0.224
Pb: 0.000 0.000 0.776
Pb: 0.333 0.667 0.442
Pb: 0.333 0.667 0.891
Pb: 0.667 0.333 0.109
Pb: 0.667 0.333 0.558


## LaRuPb2 (PBE)

Data for an optimized crystal structure of LaRuPb2.

Results
SG	Fm-3m

abc: 7.290 7.290 7.290
angles: 90.00 90.00 90.00
Element x y z (fractional)
La: 0.000 0.000 0.000
La: 0.000 0.500 0.500
La: 0.500 0.000 0.500
La: 0.500 0.500 0.000
Ru: 0.000 0.000 0.500
Ru: 0.000 0.500 0.000
Ru: 0.500 0.000 0.000
Ru: 0.500 0.500 0.500
Pb: 0.250 0.250 0.250
Pb: 0.250 0.250 0.750
Pb: 0.250 0.750 0.250
Pb: 0.250 0.750 0.750
Pb: 0.750 0.250 0.250
Pb: 0.750 0.250 0.750
Pb: 0.750 0.750 0.250
Pb: 0.750 0.750 0.750


## La3RuPb (PBE)

Data for an optimized crystal structure of La3RuPb.

Results
SG	P4mm
distance to the lowest polymorph of the same formula	0.8200	eV per atom

abc: 4.647 4.647 8.700
angles: 90.00 90.00 90.00
Element x y z (fractional)
La: 0.000 0.000 0.000
La: 0.000 0.500 0.361
La: 0.500 0.000 0.361
Ru: 0.500 0.500 0.543
Pb: 0.000 0.000 0.637


## La3RuPb (PBE)

Data for an optimized crystal structure of La3RuPb.

Results
SG	C2/m
distance to the lowest polymorph of the same formula	0.1357	eV per atom

abc: 8.161 8.161 8.189
angles: 106.61 106.61 35.27
Element x y z (fractional)
La: 0.091 0.091 0.480
La: 0.291 0.291 0.240
La: 0.398 0.398 0.822
La: 0.602 0.602 0.178
La: 0.709 0.709 0.760
La: 0.909 0.909 0.520
Ru: 0.463 0.463 0.306
Ru: 0.537 0.537 0.694
Pb: 0.092 0.092 0.895
Pb: 0.908 0.908 0.105


## La2RuPb (PBE)

Data for an optimized crystal structure of La2RuPb.

Results
SG	I-42d

abc: 8.324 8.324 6.555
angles: 90.00 90.00 90.00
Element x y z (fractional)
La: 0.183 0.250 0.125
La: 0.250 0.683 0.375
La: 0.250 0.817 0.875
La: 0.317 0.250 0.625
La: 0.683 0.750 0.625
La: 0.750 0.183 0.875
La: 0.750 0.317 0.375
La: 0.817 0.750 0.125
Ru: 0.000 0.000 0.000
Ru: 0.000 0.500 0.250
Ru: 0.500 0.000 0.750
Ru: 0.500 0.500 0.500
Pb: 0.000 0.000 0.500
Pb: 0.000 0.500 0.750
Pb: 0.500 0.000 0.250
Pb: 0.500 0.500 0.000


## LaRuPb2 (PBE)

Data for an optimized crystal structure of LaRuPb2.

Results
SG	Amm2

abc: 3.618 4.656 12.817
angles: 90.00 90.00 90.00
Element x y z (fractional)
La: 0.000 0.000 0.000
La: 0.000 0.500 0.500
Ru: 0.500 0.000 0.534
Ru: 0.500 0.500 0.034
Pb: 0.000 0.000 0.708
Pb: 0.000 0.500 0.208
Pb: 0.500 0.000 0.319
Pb: 0.500 0.500 0.819


| no. | calculated formation energy (meV per atom) | uncorrected energy (eV/atom) |
| --- | --- | --- |
| 1 | -205 | -5.915 |
| 2 | -213 | -5.532 |
| 3 | -345 | -6.103 |
| 4 | -425 | -5.979 |
| 5 | -184 | -5.738 |
| 6 | -96 | -5.501 |
| 7 | -117 | -5.522 |
| 8 | 5 | -5.400 |
| 9 | 375 | -5.179 |
| 10 | -310 | -5.863 |
| 11 | -227 | -5.937 |
| 12 | -118 | -5.523 |